Record 1
4
Lattice="-2.180 -2.320 1.648 -0.380 -1.820 -3.065 5.663 -4.094 1.729" Properties=species:S:1:pos:R:3 comment="Tm2TeRh, relaxed, DFT GGA-PBE" spacegroup="P4/mmm, No. 123" crystal_system=tetragonal relative_energy_ev_per_atom=0.106 raw_formation_energy_mev_per_atom=-915 pbc="T T T"
Rh -1.280 -2.070 -0.708
Tm 4.400 -3.181 1.343
Tm 1.263 -0.913 0.386
Te 1.551 -4.117 0.156

Record 2
5
Lattice="5.883 0.000 0.000 0.000 5.883 0.000 0.000 0.000 5.883" Properties=species:S:1:pos:R:3 comment="SiHgI3, relaxed, DFT GGA-PBE" spacegroup="Pm-3m, No. 221" crystal_system=cubic relative_energy_ev_per_atom=0.708 raw_formation_energy_mev_per_atom=599 pbc="T T T"
I 0.000 2.942 0.000
I 0.000 0.000 2.942
I 2.942 0.000 0.000
Si 2.942 2.942 2.942
Hg 0.000 0.000 0.000

Record 3
4
Lattice="-4.808 1.827 1.273 -3.300 -3.217 2.615 4.879 2.051 0.260" Properties=species:S:1:pos:R:3 comment="ZnHgMo2, relaxed, DFT GGA-PBE" spacegroup="Immm, No. 71" crystal_system=orthorhombic delta_e_f_ev_per_atom=0.374 relative_energy_ev_per_atom=0.105 pbc="T T T"
Hg -1.238 -0.930 2.410
Mo -8.063 -1.382 3.866
Mo -4.100 -0.703 1.966
Zn -1.992 1.592 1.739

Record 4
28
Lattice="9.490 0.000 0.000 0.000 9.490 0.000 0.000 0.000 9.490" Properties=species:S:1:pos:R:3 comment="Pm3ErTl3, relaxed, DFT GGA-PBE" spacegroup="P2_13, No. 198" crystal_system=cubic delta_e_f_ev_per_atom=-0.267 relative_energy_ev_per_atom=0.000 pbc="T T T"
Pm 7.844 3.099 1.646
Pm 8.835 8.835 8.835
Pm 7.816 6.419 3.071
Pm 1.646 7.844 3.099
Pm 1.674 1.674 1.674
Pm 3.071 7.816 6.419
Pm 0.655 4.090 5.401
Pm 3.099 1.646 7.844
Pm 6.419 3.071 7.816
Pm 6.391 6.391 6.391
Pm 5.401 0.655 4.090
Pm 4.090 5.401 0.655
Er 0.712 5.457 8.778
Er 8.778 0.712 5.457
Er 4.033 4.033 4.033
Er 5.457 8.778 0.712
Tl 7.170 5.991 9.471
Tl 8.244 0.019 2.425
Tl 9.471 7.170 5.991
Tl 1.246 4.764 2.320
Tl 2.320 1.246 4.764
Tl 2.425 8.244 0.019
Tl 0.019 2.425 8.244
Tl 3.499 4.726 7.065
Tl 4.764 2.320 1.246
Tl 5.991 9.471 7.170
Tl 7.065 3.499 4.726
Tl 4.726 7.065 3.499

Record 5
12
Lattice="-7.235 1.567 -2.065 -2.250 -7.440 2.238 -0.723 1.270 3.496" Properties=species:S:1:pos:R:3 comment="LaBeP, relaxed, DFT GGA-PBE" spacegroup="Immm, No. 71" crystal_system=orthorhombic delta_e_f_ev_per_atom=-0.891 relative_energy_ev_per_atom=0.107 pbc="T T T"
P -5.260 1.139 -1.501
P -1.976 0.428 -0.564
P -3.129 -2.729 2.398
P -7.080 -1.874 1.271
Be -3.747 -3.152 0.370
Be -5.738 -2.721 -0.198
Be -6.601 1.987 -0.033
Be -1.357 0.851 1.464
La -0.612 -2.024 0.609
La -1.638 -5.416 1.629
La -5.716 -4.326 2.443
La -4.492 -0.277 1.226

Record 6
20
Lattice="-3.366 5.431 -0.459 -8.450 -4.714 6.179 4.339 3.409 8.534" Properties=species:S:1:pos:R:3 comment="Ba2Tl6HgPb, relaxed, DFT GGA-PBE" spacegroup="Pmmn, No. 59" crystal_system=orthorhombic delta_e_f_ev_per_atom=-0.135 pbc="T T T"
Ba -6.717 0.148 6.299
Ba 0.865 1.218 8.068
Ba -4.489 1.899 10.683
Ba -1.245 -0.441 3.917
Tl -1.481 3.068 2.460
Tl 0.755 4.825 6.858
Tl -6.482 -3.361 7.756
Tl -4.379 -1.709 11.893
Tl 1.235 3.020 4.217
Tl -0.439 5.722 3.988
Tl -2.983 0.653 7.306
Tl -4.669 3.376 7.076
Tl -6.659 1.763 2.681
Tl -4.980 -0.947 2.910
Tl -9.198 -3.314 6.000
Tl -10.889 -0.584 5.769
Hg -4.038 -1.758 8.806
Hg -3.925 1.465 1.410
Pb -1.846 3.119 5.743
Pb -6.117 -3.413 4.473

Record 7
18
Lattice="-5.234 -6.583 -1.786 2.758 -4.101 7.035 -4.424 8.709 1.557" Properties=species:S:1:pos:R:3 comment="Nd2YHoEr5, relaxed, DFT GGA-PBE" spacegroup="I4/mcm, No. 140" crystal_system=tetragonal delta_e_f_ev_per_atom=0.270 pbc="T T T"
Nd 0.438 -2.343 2.479
Nd -2.908 -4.550 -0.275
Nd 0.433 -6.134 5.524
Nd -2.914 -8.341 2.771
Y -2.831 1.683 2.091
Y -4.069 -3.659 4.716
Ho -1.452 -0.367 5.609
Ho -5.448 -1.608 1.198
Er -4.915 -5.420 1.789
Er -6.166 1.402 1.002
Er -1.984 3.445 5.018
Er -3.756 5.001 1.367
Er -4.394 -0.155 4.654
Er -3.143 -6.976 5.440
Er -2.506 -1.821 2.153
Er -0.734 -3.377 5.805
Er -1.238 -5.342 2.625
Er 0.000 0.000 0.000

Record 8
5
Lattice="-0.683 3.864 -2.962 0.780 -2.866 -3.918 -4.806 -1.014 -0.215" Properties=species:S:1:pos:R:3 comment="AlAu3N, relaxed, DFT GGA-PBE" spacegroup="Pm-3m, No. 221" crystal_system=cubic relative_energy_ev_per_atom=0.587 raw_formation_energy_mev_per_atom=1334 pbc="T T T"
Au 0.390 -1.433 -1.959
Au -2.403 -0.507 -0.107
Au -0.341 1.932 -1.481
Al 0.000 0.000 0.000
N -2.354 -0.008 -3.547

Record 9
4
Lattice="0.846 -2.527 3.488 -3.264 -1.222 2.668 -1.339 -4.180 0.058" Properties=species:S:1:pos:R:3 comment="BTeIr2, relaxed, DFT GGA-PBE" spacegroup="Fm-3m, No. 225" crystal_system=cubic relative_energy_ev_per_atom=0.849 raw_formation_energy_mev_per_atom=963 pbc="T T T"
B 0.000 0.000 0.000
Ir -0.939 -1.982 1.553
Ir -2.817 -5.947 4.660
Te -1.878 -3.965 3.107

Record 10
8
Lattice="4.438 0.000 0.000 0.000 7.756 0.156 0.000 -2.709 8.302" Properties=species:S:1:pos:R:3 comment="K2YPaTe4, relaxed, DFT GGA-PBE" spacegroup="P2/m, No. 10" crystal_system=monoclinic raw_formation_energy_mev_per_atom=-1150 pbc="T T T"
K 2.219 -1.354 4.151
K 0.000 2.524 4.229
Y 0.000 0.000 0.000
Pa 2.219 3.878 0.078
Te 2.219 1.260 1.791
Te 2.219 3.787 6.666
Te 0.000 -0.114 6.566
Te 0.000 5.161 1.891

Record 11
4
Lattice="-3.115 0.124 -3.921 -3.335 -3.677 -0.666 -4.879 0.886 0.705" Properties=species:S:1:pos:R:3 comment="NaYAsAu, relaxed, DFT GGA-PBE" spacegroup="F-43m, No. 216" crystal_system=cubic delta_e_f_ev_per_atom=-0.746 pbc="T T T"
Y -5.664 -1.333 -1.941
Na 0.000 0.000 0.000
As -2.832 -0.667 -0.971
Au -8.497 -2.000 -2.912

Record 12
29
Lattice="7.682 0.000 4.435 2.561 7.243 4.435 0.000 0.000 8.870" Properties=species:S:1:pos:R:3 comment="Nd2As6Pd21, relaxed, DFT GGA-PBE" spacegroup="Fm-3m, No. 225" crystal_system=cubic delta_e_f_ev_per_atom=-0.509 pbc="T T T"
Nd 7.682 5.432 13.306
Nd 2.561 1.811 4.435
As 3.897 5.353 6.749
As 6.346 1.889 6.749
As 7.571 5.353 8.870
As 6.346 1.889 10.992
As 3.897 5.353 10.992
As 2.672 1.889 8.870
Pd 0.000 0.000 0.000
Pd 6.303 4.457 6.824
Pd 6.303 4.457 10.917
Pd 5.121 1.115 8.870
Pd 2.758 4.457 8.870
Pd 3.940 2.786 10.917
Pd 3.940 2.786 6.824
Pd 5.121 6.128 8.870
Pd 7.485 2.786 8.870
Pd 5.005 0.000 5.981
Pd 1.668 4.718 5.981
Pd 0.000 0.000 3.092
Pd 1.668 4.718 2.889
Pd 5.005 0.000 2.889
Pd 0.000 0.000 5.779
Pd 0.892 2.524 1.546
Pd 0.892 2.524 7.325
Pd 5.897 2.524 4.435
Pd 2.677 0.000 7.325
Pd 2.677 0.000 1.546
Pd 4.346 4.718 4.435

Record 13
5
Lattice="3.260 0.000 0.000 0.000 3.260 0.000 1.630 1.630 7.220" Properties=species:S:1:pos:R:3 comment="BeAl2P2, relaxed, DFT GGA-PBE" spacegroup="I4/mmm, No. 139" crystal_system=tetragonal delta_e_f_ev_per_atom=0.376 relative_energy_ev_per_atom=0.094 pbc="T T T"
P 3.260 1.630 3.610
P 1.630 3.260 3.610
Al 1.630 1.630 1.340
Al 3.260 3.260 5.879
Be 0.000 0.000 0.000

Record 14
12
Lattice="5.467 -0.003 -0.001 -2.734 4.734 -0.001 -0.912 -1.580 5.427" Properties=species:S:1:pos:R:3 comment="Na3Mg2SnO6, relaxed, DFT GGA-PBE" spacegroup="C2/m, No. 12" crystal_system=monoclinic raw_formation_energy_mev_per_atom=-1879 pbc="T T T"
Na -1.786 3.133 2.712
Na 3.606 0.019 2.712
Na 0.910 1.576 2.712
Mg -0.003 3.157 -0.001
Mg 2.736 1.575 -0.001
Sn 0.000 0.000 0.000
O 2.717 1.599 4.309
O 1.835 3.177 1.112
O -0.897 1.552 1.115
O 0.027 3.152 4.309
O -0.015 -0.026 4.313
O 1.793 -0.001 1.115

Record 15
18
Lattice="6.068 -1.274 -0.904 1.889 5.906 -0.904 1.889 1.099 5.872" Properties=species:S:1:pos:R:3 comment="Y2TaCo3Ni12, relaxed, DFT GGA-PBE" spacegroup="R-3m, No. 166" crystal_system=trigonal delta_e_f_ev_per_atom=0.063 pbc="T T T"
Y 7.135 4.153 2.946
Y 2.710 1.578 1.119
Ta 0.000 0.000 0.000
Co 3.034 -0.637 -0.452
Co 0.944 2.953 -0.452
Co 0.944 0.550 2.936
Ni 4.937 2.874 4.275
Ni 6.877 4.003 0.211
Ni 4.720 5.228 3.708
Ni 6.772 1.831 1.299
Ni 6.877 1.523 3.708
Ni 4.937 4.985 1.299
Ni 4.908 2.857 -0.210
Ni 2.968 1.728 3.854
Ni 5.125 0.503 0.356
Ni 3.073 3.900 2.766
Ni 2.968 4.208 0.356
Ni 4.908 0.746 2.766

Record 16
9
Lattice="1.776 -3.077 0.000 1.776 3.077 0.000 0.000 0.000 25.551" Properties=species:S:1:pos:R:3 comment="YEr2Tm6, relaxed, DFT GGA-PBE" spacegroup="P-6m2, No. 187" crystal_system=hexagonal delta_e_f_ev_per_atom=0.045 relative_energy_ev_per_atom=0.000 pbc="T T T"
Y 0.000 0.000 0.000
Er 1.776 1.026 8.359
Er 1.776 1.026 17.192
Tm 1.776 1.026 22.728
Tm 0.000 0.000 11.103
Tm 0.000 0.000 19.965
Tm 0.000 0.000 5.586
Tm 0.000 0.000 14.448
Tm 1.776 1.026 2.823

Record 17
8
Lattice="7.916 0.000 0.000 0.000 7.916 0.000 3.958 3.958 2.594" Properties=species:S:1:pos:R:3 comment="ScNb2As, relaxed, DFT GGA-PBE" spacegroup="I-42d, No. 122" crystal_system=tetragonal delta_e_f_ev_per_atom=0.012 pbc="T T T"
Sc 3.958 3.958 0.000
Sc 3.958 7.916 1.297
Nb 6.391 1.979 0.649
Nb 1.526 5.937 0.649
Nb 5.937 5.484 1.946
Nb 9.895 10.349 1.946
As 0.000 0.000 0.000
As 7.916 3.958 1.297

Record 18
4
Lattice="-1.356 -1.383 2.994 -1.029 -2.898 -1.805 7.887 -3.902 1.770" Properties=species:S:1:pos:R:3 comment="EuLu2Au, relaxed, DFT GGA-PBE" spacegroup="P4/mmm, No. 123" crystal_system=tetragonal delta_e_f_ev_per_atom=-0.370 relative_energy_ev_per_atom=0.000 pbc="T T T"
Eu 2.751 -4.092 1.480
Lu 6.403 -3.168 1.437
Lu 1.484 -0.734 0.333
Au -1.193 -2.141 0.594

Record 19
14
Lattice="-6.523 -4.689 -1.497 2.099 -5.257 5.893 -4.192 4.166 5.211" Properties=species:S:1:pos:R:3 comment="CaAc3Mg3, relaxed, DFT GGA-PBE" spacegroup="C2/m, No. 12" crystal_system=monoclinic delta_e_f_ev_per_atom=0.043 pbc="T T T"
Ca -3.350 -7.527 3.330
Ca -5.265 1.746 6.278
Ac -5.432 -5.414 5.920
Ac -2.233 -3.027 6.582
Ac -6.383 -2.753 3.025
Ac -0.175 -5.107 3.945
Ac -4.250 -4.839 0.452
Ac -3.184 -0.366 3.687
Mg -1.030 1.022 1.280
Mg -2.126 0.527 6.895
Mg -6.438 0.811 3.199
Mg -6.490 -6.307 2.712
Mg -2.178 -6.592 6.408
Mg -7.586 -6.802 8.327

Record 20
4
Lattice="4.733 0.000 0.000 2.367 4.099 0.000 2.367 1.366 3.865" Properties=species:S:1:pos:R:3 comment="ErTiAgRh, relaxed, DFT GGA-PBE" spacegroup="F-43m, No. 216" crystal_system=cubic delta_e_f_ev_per_atom=-0.338 pbc="T T T"
Ti 4.733 2.733 1.932
Rh 2.367 1.366 0.966
Ag 7.100 4.099 2.899
Er 0.000 0.000 0.000

Record 21
12
Lattice="6.068 0.000 0.000 3.034 8.852 1.319 3.034 1.425 7.360" Properties=species:S:1:pos:R:3 comment="Nd7Tl4Pb, relaxed, DFT GGA-PBE" spacegroup="C2/m, No. 12" crystal_system=monoclinic delta_e_f_ev_per_atom=-0.217 pbc="T T T"
Nd 9.101 8.407 4.708
Nd 3.034 1.871 3.972
Nd 3.034 5.654 2.684
Nd 9.101 4.623 5.996
Nd 6.068 7.462 6.744
Nd 3.034 0.000 0.000
Nd 6.068 2.815 1.936
Tl 6.068 3.658 4.951
Tl 6.068 6.620 3.729
Tl 9.101 7.236 7.922
Tl 3.034 3.042 0.757
Pb 0.000 0.000 0.000

Record 22
5
Lattice="4.239 0.000 0.000 0.000 4.239 0.000 0.000 0.000 4.239" Properties=species:S:1:pos:R:3 comment="NiAg3C, relaxed, DFT GGA-PBE" spacegroup="Pm-3m, No. 221" crystal_system=cubic delta_e_f_ev_per_atom=0.956 relative_energy_ev_per_atom=0.000 pbc="T T T"
Ni 2.119 2.119 2.119
C 0.000 0.000 0.000
Ag 0.000 2.119 0.000
Ag 0.000 0.000 2.119
Ag 2.119 0.000 0.000

Number 1: DOS at the Fermi energy 2.0 states/eV/cell. Number 2: DOS at the Fermi energy 1.6 states/eV/cell. Number 3: DOS at the Fermi energy 2.2 states/eV/cell. Number 4: DOS at the Fermi energy 32.9 states/eV/cell. Number 5: DOS at the Fermi energy 4.1 states/eV/cell. Number 6: DOS at the Fermi energy 11.2 states/eV/cell. Number 7: DOS at the Fermi energy 22.5 states/eV/cell. Number 8: DOS at the Fermi energy 1.8 states/eV/cell. Number 9: DOS at the Fermi energy 7.3 states/eV/cell. Number 10: DOS at the Fermi energy 8.0 states/eV/cell. Number 11: DOS at the Fermi energy 0.1 states/eV/cell. Number 12: DOS at the Fermi energy 10.2 states/eV/cell. Number 13: DOS at the Fermi energy 2.4 states/eV/cell. Number 14: DOS at the Fermi energy 12.0 states/eV/cell. Number 15: DOS at the Fermi energy 25.4 states/eV/cell. Number 16: DOS at the Fermi energy 16.4 states/eV/cell. Number 17: DOS at the Fermi energy 4.8 states/eV/cell. Number 18: DOS at the Fermi energy 4.3 states/eV/cell. Number 19: DOS at the Fermi energy 17.9 states/eV/cell. Number 20: DOS at the Fermi energy 3.8 states/eV/cell. Number 21: DOS at the Fermi energy 13.6 states/eV/cell. Number 22: DOS at the Fermi energy 2.8 states/eV/cell.